(1)
5
Lattice="4.058 0.000 0.000 0.000 4.058 0.000 0.000 0.000 4.058" Properties=species:S:1:pos:R:3 comment="MnRe3B | the Alexandria database | PBE-GGA | relaxed" ef_ev_per_atom=0.381 e_above_lowest_polymorph_mev_per_atom=0 vol_a3_per_atom=13.37 pbc="T T T"
Mn 0.000 0.000 0.000
Re 0.000 2.029 2.029
Re 2.029 0.000 2.029
Re 2.029 2.029 0.000
B 2.029 2.029 2.029


(2)
5
Lattice="-2.005 2.005 3.916 2.005 -2.005 3.916 2.005 2.005 -3.916" Properties=species:S:1:pos:R:3 comment="MnRe2B2 | the Alexandria database | PBE-GGA | relaxed" ef_ev_per_atom=0.361 e_above_lowest_polymorph_mev_per_atom=594 vol_a3_per_atom=12.60 pbc="T T T"
Mn 0.000 0.000 0.000
Re 0.000 0.000 2.697
Re 0.000 0.000 5.136
B 2.005 0.000 1.958
B 0.000 2.005 1.958


(3)
5
Lattice="3.735 0.000 0.000 0.000 3.735 0.000 0.000 0.000 4.203" Properties=species:S:1:pos:R:3 comment="MnReB2S | the Alexandria database | PBE-GGA | relaxed" vol_a3_per_atom=11.73 formation_energy_uncorrected_ev_per_atom=1.699 pbc="T T T"
Mn 0.000 0.000 0.000
Re 1.867 1.867 0.000
B 0.000 1.867 2.102
B 1.867 0.000 2.102
S 0.000 0.000 2.102